# Tc2PRh, relaxed, DFT PBE
# - crystal system = trigonal
# - calculated formation energy (eV per atom) = -0.11
# - density of states at the Fermi level (states/eV/cell) = 9.18
data_Tc2PRh
_chemical_formula_sum 'Tc6 P3 Rh3'
_cell_length_a 2.7958
_cell_length_b 2.7958
_cell_length_c 24.5101
_cell_angle_alpha 90.00
_cell_angle_beta 90.00
_cell_angle_gamma 120.00
_space_group_name_H-M_alt 'R -3 m'
_space_group_IT_number 166
_space_group_name_Hall '-R 3 2"'
loop_
_atom_site_label
_atom_site_type_symbol
_atom_site_fract_x
_atom_site_fract_y
_atom_site_fract_z
_atom_site_occupancy
Tc1 Tc 0.0000 0.0000 0.2432 1
P1 P 0.0000 0.0000 0.5000 1
Rh1 Rh 0.0000 0.0000 0.0000 1